TbSc2Bi | PBE | optimized geometry

Geometry as POSCAR:
```
TbSc2Bi
1.0
2.029 -5.977 0.000
2.029 5.977 0.000
0.000 0.000 8.992
Tb Sc Bi
2 4 2
Direct
0.050 0.950 0.750
0.950 0.050 0.250
0.368 0.632 0.545
0.368 0.632 0.955
0.632 0.368 0.045
0.632 0.368 0.455
0.238 0.762 0.250
0.762 0.238 0.750
```

Output
Fermi-level density of states   1.66 states/eV/atom
V   27.264 Å³/atom
Total energy   -5.67 eV per atom
Calculated density   6.97 g/cm3
Energy above the lowest structure with this stoichiometry   0 meV per atom
DFT formation energy   -8.67 kcal/mol of atoms